No. 1
# Li2InAg

A relaxed Li2InAg crystal (GGA-PBE, the Alexandria database).

CIF file:
```
data_Li2InAg
_space_group_name_H-M_alt 'I m m 2'
_space_group_IT_number 44
_space_group_name_Hall 'I 2 -2'
_cell_length_a 4.2421
_cell_length_b 4.2925
_cell_length_c 7.8283
_cell_angle_alpha 90.00
_cell_angle_beta 90.00
_cell_angle_gamma 90.00
loop_
_atom_site_label
_atom_site_fract_x
_atom_site_fract_y
_atom_site_fract_z
Li1 0.0000 0.0000 0.0000
Li2 0.0000 0.5000 0.2510
In1 0.0000 0.0000 0.5004
Ag1 0.0000 0.5000 0.7490
```

=====

No. 2
# Li5In4Ag2

A relaxed Li5In4Ag2 crystal (GGA-PBE, the Alexandria database).

CIF file:
```
data_Li5In4Ag2
_space_group_name_H-M_alt 'P 1 2/m 1'
_space_group_IT_number 10
_space_group_name_Hall '-P 2y'
_cell_length_a 7.3654
_cell_length_b 3.0822
_cell_length_c 9.5167
_cell_angle_alpha 90.00
_cell_angle_beta 91.93
_cell_angle_gamma 90.00
loop_
_atom_site_label
_atom_site_fract_x
_atom_site_fract_y
_atom_site_fract_z
Li1 0.0000 0.0000 0.0000
Li2 0.0702 0.0000 0.3060
Li3 0.3137 0.0000 0.8365
In1 0.2183 0.5000 0.5697
In2 0.3274 0.5000 0.1017
Ag1 0.4283 0.0000 0.3573
```

=====

No. 3
# Li2In2Ag15

A relaxed Li2In2Ag15 crystal (GGA-PBE, the Alexandria database).

CIF file:
```
data_Li2In2Ag15
_space_group_name_H-M_alt 'R -3 m'
_space_group_IT_number 166
_space_group_name_Hall '-R 3 2"'
_cell_length_a 9.5823
_cell_length_b 9.5823
_cell_length_c 14.2729
_cell_angle_alpha 90.00
_cell_angle_beta 90.00
_cell_angle_gamma 120.00
loop_
_atom_site_label
_atom_site_fract_x
_atom_site_fract_y
_atom_site_fract_z
Li1 0.0000 0.0000 0.1059
In1 0.0000 0.0000 0.3564
Ag1 0.0000 0.3178 0.0000
Ag2 0.0000 0.5000 0.5000
Ag3 0.0021 0.5011 0.1605
```

=====

No. 4
# Li2In8Ag

A relaxed Li2In8Ag crystal (GGA-PBE, the Alexandria database).

CIF file:
```
data_Li2In8Ag
_space_group_name_H-M_alt 'P 4/m m m'
_space_group_IT_number 123
_space_group_name_Hall '-P 4 2'
_cell_length_a 4.6709
_cell_length_b 4.6709
_cell_length_c 12.1868
_cell_angle_alpha 90.00
_cell_angle_beta 90.00
_cell_angle_gamma 90.00
loop_
_atom_site_label
_atom_site_fract_x
_atom_site_fract_y
_atom_site_fract_z
Li1 0.0000 0.0000 0.1767
In1 0.0000 0.5000 0.0000
In2 0.0000 0.5000 0.3598
In3 0.5000 0.5000 0.1847
Ag1 0.0000 0.0000 0.5000
```

=====

Energy of formation / eV/atom: -0.28 -0.19 0.04 -0.10
Uncorrected energy / eV per atom: -2.634 -2.574 -2.702 -2.694